Below is crystalline GdY2FeNi8 at its relaxed geometry, with properties calculated at the PBE level.

a = 8.5638 Å, b = 8.5638 Å, c = 8.5638 Å
α = 33.85°, β = 33.85°, γ = 33.85°
Last column: nearest neighbours and their distance in Å.
Fractional positions:
Gd  0.0000  0.0000  0.0000  18 Ni 2.88-3.20
Y  0.1389  0.1389  0.1389  9 Ni 2.84-3.06, 3 Fe 2.96, 3 Y 3.18
Y  0.8611  0.8611  0.8611  9 Ni 2.84-3.06, 3 Fe 2.96, 3 Y 3.18
Fe  0.5000  0.5000  0.5000  6 Ni 2.49
Ni  0.0821  0.5832  0.5832  6 Ni 2.47-2.50, 1 Fe 2.49
Ni  0.3333  0.3333  0.3333  6 Ni 2.47
Ni  0.4168  0.4168  0.9179  6 Ni 2.47-2.50, 1 Fe 2.49
Ni  0.4168  0.9179  0.4168  6 Ni 2.47-2.50, 1 Fe 2.49
Ni  0.5832  0.0821  0.5832  6 Ni 2.47-2.50, 1 Fe 2.49
Ni  0.5832  0.5832  0.0821  6 Ni 2.47-2.50, 1 Fe 2.49
Ni  0.6667  0.6667  0.6667  6 Ni 2.47
Ni  0.9179  0.4168  0.4168  6 Ni 2.47-2.50, 1 Fe 2.49

Calculated values
Magnetization (μB per formula unit): 3.07
Formation energy from the elements (meV/atom): -333.6

=====

Below is crystalline Rb2TcSe3 at its relaxed geometry, with properties calculated at the PBE level.

a = 7.6207 Å, b = 7.6207 Å, c = 6.9988 Å
α = 94.23°, β = 94.23°, γ = 73.43°
Last column: nearest neighbours and their distance in Å.
Fractional positions:
Rb  0.0073  0.6711  0.7895  6 Se 3.41-3.62
Rb  0.3289  0.9927  0.7105  6 Se 3.41-3.62
Rb  0.6711  0.0073  0.2895  6 Se 3.41-3.62
Rb  0.9927  0.3289  0.2105  6 Se 3.41-3.62
Tc  0.4098  0.5902  0.2500  5 Se 2.36-2.54
Tc  0.5902  0.4098  0.7500  5 Se 2.36-2.54
Se  0.1505  0.8495  0.2500  1 Tc 2.36
Se  0.3468  0.3988  0.5046  2 Tc 2.45-2.54
Se  0.3988  0.3468  0.0046  2 Tc 2.45-2.54
Se  0.6012  0.6532  0.9954  2 Tc 2.45-2.54
Se  0.6532  0.6012  0.4954  2 Tc 2.45-2.54
Se  0.8495  0.1505  0.7500  1 Tc 2.36

Calculated values
Electronic total energy (eV per atom): -4.488
Magnetization (μB per formula unit): 0.99